# 1
## Ca3SnPt2 (GGA-PBE)

Data for crystalline Ca3SnPt2 at its relaxed geometry.

Cell lengths 8.297, 8.297, 8.297 Å; angles 149.87, 148.67, 44.02 degrees
Element x y z (fractional)
Ca  0.000  0.000  0.000
Ca  0.321  0.821  0.500
Ca  0.679  0.179  0.500
Sn  0.500  0.500  0.000
Pt  0.127  0.627  0.500
Pt  0.873  0.373  0.500

DOS(E_F) in states/eV/cell: 4.06
Formation energy from the elements in eV per atom: -0.77
Space-group type: Immm (71)
M_tot in μB per formula unit: 0.00
E in eV/atom: -4.450

=====

# 2
## Ca3TcH (GGA-PBE)

Data for crystalline Ca3TcH at its relaxed geometry.

Cell lengths 5.427, 5.427, 5.427 Å; angles 90.00, 90.00, 90.00 degrees
Element x y z (fractional)
Ca  0.000  0.000  0.500
Ca  0.000  0.500  0.000
Ca  0.500  0.000  0.000
Tc  0.000  0.000  0.000
H  0.500  0.500  0.500

DOS(E_F) in states/eV/cell: 0.00
Space-group type: Pm-3m (221)
M_tot in μB per formula unit: 0.00
Energy above the lowest structure with this stoichiometry in eV per atom: 0.508
E in eV/atom: -3.151

=====

# 3
## Pm4Th3N8 (GGA-PBE)

Data for crystalline Pm4Th3N8 at its relaxed geometry.

Cell lengths 7.202, 7.202, 7.224 Å; angles 119.25, 119.25, 90.83 degrees
Element x y z (fractional)
Pm  0.000  0.000  0.000
Pm  0.000  0.000  0.500
Pm  0.000  0.500  0.000
Pm  0.500  0.000  0.000
Th  0.000  0.500  0.500
Th  0.500  0.000  0.500
Th  0.500  0.500  0.000
N  0.237  0.763  0.500
N  0.243  0.243  0.969
N  0.245  0.245  0.511
N  0.250  0.750  0.000
N  0.750  0.250  0.000
N  0.755  0.755  0.489
N  0.757  0.757  0.031
N  0.763  0.237  0.500

DOS(E_F) in states/eV/cell: 4.04
ΔE_f (raw) in eV per formula unit: -19.1
Space-group type: C2/m (12)
M_tot in μB per formula unit: 0.00
E in eV/atom: -8.465

=====

# 4
## ErTlSnHg (GGA-PBE)

Data for crystalline ErTlSnHg at its relaxed geometry.

Cell lengths 5.361, 5.361, 5.361 Å; angles 60.00, 60.00, 60.00 degrees
Element x y z (fractional)
Er  0.000  0.000  0.000
Tl  0.500  0.500  0.500
Sn  0.750  0.750  0.750
Hg  0.250  0.250  0.250

DOS(E_F) in states/eV/cell: 2.39
Formation energy from the elements in eV per atom: -0.17
Space-group type: F-43m (216)
M_tot in μB per formula unit: 0.00
E in eV/atom: -2.980

=====

Question: Among the records above, which one has the lowest DOS(E_F)?
Answer: Ca3TcH